KAgW2 after structural relaxation, computed with PBE.

The formation enthalpy at 0 K is 1.317 eV per atom. The size of the total moment is 0.000 μB/cell.

Lattice parameters (Å, degrees): 3.0458 5.7781 10.4965 90.00 90.00 90.00
Space group Imm2 (No. 44)
Symmetry-distinct sites (fractional):
K1 0.0000 0.0000 0.0000
Ag1 0.0000 0.5000 0.2140
W1 0.0000 0.0000 0.4719
W2 0.0000 0.5000 0.7958